Material: In2Cu7Sn2Pd
Method: DFT, PBE
State: relaxed

Summary:
spin magnetization: 0.00 μB/f.u.
symmetry: C2/m (12)
E_tot: -3.8677 eV per atom
DOS at the Fermi energy: 4.7 states/eV per cell
calculated formation energy: 0.078 eV per atom

Cell lengths 3.569, 3.569, 16.611 Å; angles 83.79, 83.79, 90.02 degrees
Atoms (fractional coordinates):
1 In 0.378 0.378 0.250
2 In 0.622 0.622 0.750
3 Pd 0.000 0.000 0.000
4 Cu 0.440 0.940 0.119
5 Cu 0.560 0.060 0.881
6 Cu 0.270 0.270 0.463
7 Cu 0.730 0.730 0.537
8 Cu 0.940 0.440 0.119
9 Cu 0.060 0.560 0.881
10 Cu 0.500 0.500 0.000
11 Sn 0.815 0.815 0.376
12 Sn 0.185 0.185 0.624